(1)
Entry from Alexandria via LeMat-Bulk: a relaxed structure of MgFeOs2 (PBE).

Calculated values
- Calculated volume: 57 Å³/cell
- Energy of formation: 0.401 eV/atom
- VASP energy: -30.9 eV per cell

a b c (Å): 3.8228 3.8228 3.8995
angles (deg): 90.00 90.00 90.00
With the nearest neighbours (Å) after each atom.
Sites, in units of the cell vectors:
Mg (0.0000, 0.0000, 0.0000)  4 Fe 2.70, 8 Os 2.73
Fe (0.5000, 0.5000, 0.0000)  4 Mg 2.70, 8 Os 2.73
Os (0.0000, 0.5000, 0.5000)  4 Os 2.70, 4 Fe 2.73, 4 Mg 2.73
Os (0.5000, 0.0000, 0.5000)  4 Os 2.70, 4 Fe 2.73, 4 Mg 2.73


(2)
Entry from Alexandria via LeMat-Bulk: a relaxed structure of MgFe2Os (PBE).

Calculated values
- Calculated volume: 56 Å³/cell
- Energy of formation: 0.327 eV/atom
- VASP energy: -28.4 eV per cell

a b c (Å): 2.6457 2.6457 8.6126
angles (deg): 90.00 90.00 111.16
With the nearest neighbours (Å) after each atom.
Sites, in units of the cell vectors:
Mg (0.0000, 0.0000, 0.0000)  4 Mg 2.65, 4 Fe 2.69
Fe (0.5000, 0.5000, 0.2603)  2 Os 2.55, 4 Fe 2.65, 2 Mg 2.69
Fe (0.5000, 0.5000, 0.7397)  2 Os 2.55, 4 Fe 2.65, 2 Mg 2.69
Os (0.0000, 0.0000, 0.5000)  4 Fe 2.55, 4 Os 2.65


(3)
Entry from Alexandria via LeMat-Bulk: a relaxed structure of MgFe2Os (PBE).

Calculated values
- Calculated volume: 55 Å³/cell
- Energy of formation: 0.208 eV/atom
- VASP energy: -28.9 eV per cell

a b c (Å): 2.6959 2.6959 7.5123
angles (deg): 90.00 90.00 90.00
With the nearest neighbours (Å) after each atom.
Sites, in units of the cell vectors:
Mg (0.0000, 0.0000, 0.0000)  4 Mg 2.70, 8 Fe 2.78
Fe (0.5000, 0.5000, 0.2699)  4 Os 2.57, 4 Fe 2.70, 4 Mg 2.78
Fe (0.5000, 0.5000, 0.7301)  4 Os 2.57, 4 Fe 2.70, 4 Mg 2.78
Os (0.0000, 0.0000, 0.5000)  8 Fe 2.57, 4 Os 2.70


(4)
Entry from Alexandria via LeMat-Bulk: a relaxed structure of MgFe2Os (PBE).

Calculated values
- Calculated volume: 55 Å³/cell
- Energy of formation: 0.290 eV/atom
- VASP energy: -28.6 eV per cell

a b c (Å): 5.0378 5.0378 5.0378
angles (deg): 145.76 129.25 62.66
With the nearest neighbours (Å) after each atom.
Sites, in units of the cell vectors:
Mg (0.0000, 0.0000, 0.0000)  4 Os 2.62, 4 Fe 2.70
Fe (0.2628, 0.7628, 0.5000)  2 Os 2.52, 4 Fe 2.63, 2 Mg 2.70
Fe (0.7372, 0.2372, 0.5000)  2 Os 2.52, 4 Fe 2.63, 2 Mg 2.70
Os (0.5000, 0.5000, 0.0000)  4 Fe 2.52, 4 Mg 2.62


(5)
Entry from Alexandria via LeMat-Bulk: a relaxed structure of MgFe2Os (PBE).

Calculated values
- Calculated volume: 54 Å³/cell
- Energy of formation: 0.319 eV/atom
- VASP energy: -28.5 eV per cell

a b c (Å): 4.6346 4.6346 4.6346
angles (deg): 131.97 131.97 70.28
With the nearest neighbours (Å) after each atom.
Sites, in units of the cell vectors:
Mg (0.0000, 0.0000, 0.0000)  8 Fe 2.67, 4 Os 2.67
Fe (0.5000, 0.5000, 0.0000)  4 Mg 2.67, 4 Fe 2.67, 4 Os 2.67
Fe (0.7500, 0.2500, 0.5000)  4 Os 2.67, 4 Fe 2.67, 4 Mg 2.67
Os (0.2500, 0.7500, 0.5000)  8 Fe 2.67, 4 Mg 2.67


(6)
Entry from Alexandria via LeMat-Bulk: a relaxed structure of MgFe2Os (PBE).

Calculated values
- Calculated volume: 55 Å³/cell
- Energy of formation: 0.231 eV/atom
- VASP energy: -28.8 eV per cell

a b c (Å): 4.9109 4.9109 2.5882
angles (deg): 97.44 97.44 115.66
With the nearest neighbours (Å) after each atom.
Sites, in units of the cell vectors:
Mg (0.0000, 0.0000, 0.0000)  2 Mg 2.59, 2 Os 2.61, 4 Fe 2.62
Fe (0.0000, 0.5000, 0.5000)  4 Fe 2.59-2.61, 2 Os 2.62, 2 Mg 2.62
Fe (0.5000, 0.0000, 0.5000)  4 Fe 2.59-2.61, 2 Mg 2.62, 2 Os 2.62
Os (0.5000, 0.5000, 0.0000)  2 Os 2.59, 2 Mg 2.61, 4 Fe 2.62


(7)
Entry from Alexandria via LeMat-Bulk: a relaxed structure of MgFe2Os (PBE).

Calculated values
- Calculated volume: 55 Å³/cell
- Energy of formation: 0.272 eV/atom
- VASP energy: -28.7 eV per cell

a b c (Å): 8.9067 8.9067 8.9067
angles (deg): 17.38 17.38 17.38
With the nearest neighbours (Å) after each atom.
Sites, in units of the cell vectors:
Mg (0.0000, 0.0000, 0.0000)  6 Mg 2.69, 6 Fe 2.76
Fe (0.2465, 0.2465, 0.2465)  3 Os 2.61, 6 Fe 2.69, 3 Mg 2.76
Fe (0.7535, 0.7535, 0.7535)  3 Os 2.61, 6 Fe 2.69, 3 Mg 2.76
Os (0.5000, 0.5000, 0.5000)  6 Fe 2.61, 6 Os 2.69


(8)
Entry from Alexandria via LeMat-Bulk: a relaxed structure of MgFe2Os2 (PBE).

Calculated values
- Calculated volume: 140 Å³/cell
- Energy of formation: 0.250 eV/atom
- VASP energy: -79.5 eV per cell
- ΔE to the lowest computed polymorph: 0.000 eV/atom

a b c (Å): 7.2808 7.2808 2.6364
angles (deg): 90.00 90.00 90.00
With the nearest neighbours (Å) after each atom.
Sites, in units of the cell vectors:
Mg (0.0000, 0.0000, 0.0000)  2 Mg 2.64, 4 Os 2.87
Mg (0.5000, 0.5000, 0.0000)  2 Mg 2.64, 4 Os 2.87
Fe (0.1658, 0.3342, 0.5000)  6 Os 2.51-2.52, 2 Fe 2.64
Fe (0.3342, 0.8342, 0.5000)  6 Os 2.51-2.52, 2 Fe 2.64
Fe (0.6658, 0.1658, 0.5000)  6 Os 2.51-2.52, 2 Fe 2.64
Fe (0.8342, 0.6658, 0.5000)  6 Os 2.51-2.52, 2 Fe 2.64
Os (0.1269, 0.6269, 0.0000)  6 Fe 2.51-2.52, 3 Os 2.61-2.64
Os (0.3731, 0.1269, 0.0000)  6 Fe 2.51-2.52, 3 Os 2.61-2.64
Os (0.6269, 0.8731, 0.0000)  6 Fe 2.51-2.52, 3 Os 2.61-2.64
Os (0.8731, 0.3731, 0.0000)  6 Fe 2.51-2.52, 3 Os 2.61-2.64